Entry 1:
This record from Alexandria describes a relaxed Tb2Co3P4Ru crystal. The functional is PBE-GGA.

Lattice parameters (Å, degrees): 3.968 3.968 9.142 90.00 90.00 90.00
Element x y z (fractional)
1 Ru 0.500 0.500 0.500
2 Co 0.000 0.000 0.500
3 P 0.500 0.500 0.000
4 P 0.000 0.000 0.000
5 Co 0.000 0.500 0.112
6 Tb 0.000 0.500 0.763
7 Co 0.500 0.000 0.888
8 P 0.000 0.500 0.360
9 Tb 0.500 0.000 0.237
10 P 0.500 0.000 0.640

Formation enthalpy at 0 K: -1.03 eV/atom
Energy: -71.75 eV per cell
Space group: P-4m2, No. 115

***

Entry 2:
This record from Alexandria describes a relaxed MgTc3Ni crystal. The functional is PBE-GGA.

Lattice parameters (Å, degrees): 4.425 4.425 4.425 90.00 90.00 90.00
Element x y z (fractional)
1 Ni 0.500 0.500 0.500
2 Mg 0.000 0.000 0.000
3 Tc 0.000 0.500 0.000
4 Tc 0.000 0.000 0.500
5 Tc 0.500 0.000 0.000

Formation enthalpy at 0 K: 2.23 eV/atom
Polymorph energy (0 for the lowest one): 946.5 meV/atom
Energy: -27.31 eV per cell
Space group: Pm-3m, No. 221

***

Entry 3:
This record from Alexandria describes a relaxed ScVHg2N crystal. The functional is PBE-GGA.

Lattice parameters (Å, degrees): 5.351 4.436 5.351 90.00 90.00 90.00
Element x y z (fractional)
1 V 0.000 0.500 0.000
2 Hg 0.000 0.000 0.500
3 Sc 0.000 0.000 0.000
4 N 0.500 0.500 0.500
5 Hg 0.500 0.000 0.000

Energy: -13.74 eV per cell
Raw formation energy: 2127.2 meV/atom
Space group: P4/mmm, No. 123

***

Entry 4:
This record from Alexandria describes a relaxed Dy8Bi3 crystal. The functional is PBE-GGA.

Lattice parameters (Å, degrees): 7.216 7.216 7.216 89.33 89.33 89.33
Element x y z (fractional)
1 Dy 0.689 0.867 0.107
2 Dy 0.133 0.893 0.311
3 Dy 0.867 0.107 0.689
4 Dy 0.107 0.689 0.867
5 Dy 0.311 0.133 0.893
6 Bi 0.000 0.500 0.500
7 Dy 0.893 0.311 0.133
8 Bi 0.500 0.000 0.500
9 Dy 0.649 0.649 0.649
10 Bi 0.500 0.500 0.000
11 Dy 0.351 0.351 0.351

Formation enthalpy at 0 K: -0.13 eV/atom
Energy: -49.85 eV per cell
Space group: R-3, No. 148

***

Entry 5:
This record from Alexandria describes a relaxed Ho2Er3TmS6 crystal. The functional is PBE-GGA.

Lattice parameters (Å, degrees): 3.859 7.759 8.636 103.13 102.91 90.00
Element x y z (fractional)
1 Er 0.833 0.167 0.665
2 S 0.334 0.415 0.668
3 S 0.999 0.248 0.999
4 Ho 0.167 0.334 0.334
5 S 0.001 0.752 0.001
6 S 0.666 0.585 0.332
7 S 0.666 0.082 0.332
8 Ho 0.833 0.666 0.666
9 S 0.334 0.918 0.668
10 Er 0.167 0.833 0.335
11 Er 0.500 0.500 0.000
12 Tm 0.500 0.000 0.000

Energy: -75.56 eV per cell
Raw formation energy: -1956.8 meV/atom
Space group: C2/m, No. 12

***

Entry 6:
This record from Alexandria describes a relaxed Sr3Tl2Hg4Pb2 crystal. The functional is PBE-GGA.

Lattice parameters (Å, degrees): 5.262 5.262 14.596 90.00 90.00 120.00
Element x y z (fractional)
1 Hg 0.667 0.333 0.109
2 Sr 0.000 0.000 0.721
3 Tl 0.333 0.667 0.587
4 Tl 0.667 0.333 0.413
5 Pb 0.333 0.667 0.147
6 Sr 0.000 0.000 0.279
7 Sr 0.000 0.000 0.000
8 Hg 0.333 0.667 0.378
9 Hg 0.333 0.667 0.891
10 Pb 0.667 0.333 0.853
11 Hg 0.667 0.333 0.622

Formation enthalpy at 0 K: -0.33 eV/atom
Energy: -22.04 eV per cell
Space group: P-3m1, No. 164